CdCoAsO after structural relaxation, computed with GGA+U.

Unit cell a=3.1189 b=7.0608 c=6.4547 alpha=90.00 beta=90.00 gamma=90.00
Fractional coordinates of all 8 atoms:
As1 0.0000 0.8992 0.3292
As2 0.0000 0.1008 0.8292
Cd1 0.5000 0.3440 0.0508
Cd2 0.5000 0.6560 0.5508
Co1 0.0000 0.2193 0.4749
Co2 0.0000 0.7807 0.9749
O1 0.5000 0.3702 0.3991
O2 0.5000 0.6298 0.8991

Computed properties:
Energy relative to the lowest polymorph listed for this composition in eV/atom: 0.0000
Calculated density in kg/m³: 6127
Space-group type: Pmc2_1, No. 26
Uncorrected energy in eV/cell: -34.065
Magnetic moment in μB per atom: 0.692